The following is a PBE calculation of a geometry-optimized Al2ZnW structure, from Alexandria via LeMat-Bulk.

Computed properties:
The spin magnetization is 0.000 μB/f.u. The formation energy comes out at 159 meV/atom.

The structure in POSCAR format:
```
Al2ZnW
1.0
2.769 0.000 0.000
0.000 4.796 0.000
0.000 0.000 4.706
Zn W Al
1 1 2
Direct
0.000 0.500 0.500
0.500 0.000 0.500
0.000 0.000 0.000
0.500 0.500 0.000
```